ScBe2Cu | the Alexandria database | PBE | optimized geometry; energy relative to the elements = -0.032 eV/atom; crystal system = tetragonal; SG = I-4m2, No. 119; E_tot = -4.50 eV/atom
1.0
4.154 0.007 -0.001
-0.025 4.151 -0.001
-2.065 -2.080 2.944
Sc Be Cu
1 2 1
Direct
0.750 0.250 0.500
0.000 0.000 0.000
0.250 0.750 0.500
0.500 0.500 0.000

ScBe9Cu2 | the Alexandria database | PBE | optimized geometry; energy relative to the elements = -0.153 eV/atom; crystal system = trigonal; SG = R-3m, No. 166; E_tot = -4.16 eV/atom
1.0
-0.344 2.973 3.189
-2.908 -0.570 3.216
3.712 -2.642 5.861
Sc Be Cu
1 9 2
Direct
0.000 0.000 0.000
0.668 0.668 0.996
0.332 0.332 0.004
0.500 0.500 0.500
0.414 0.414 0.257
0.915 0.414 0.257
0.414 0.915 0.257
0.586 0.586 0.743
0.586 0.085 0.743
0.085 0.586 0.743
0.858 0.858 0.425
0.142 0.142 0.575

ScBeCu | the Alexandria database | PBE | optimized geometry; energy relative to the elements = 0.188 eV/atom; crystal system = cubic; SG = F-43m, No. 216; E_tot = -4.53 eV/atom
1.0
4.138 0.000 0.000
2.069 3.584 0.000
2.069 1.195 3.379
Sc Be Cu
1 1 1
Direct
0.000 0.000 0.000
0.500 0.500 0.500
0.750 0.750 0.750

ScBe4Cu | the Alexandria database | PBE | optimized geometry; energy relative to the elements = -0.032 eV/atom; crystal system = cubic; SG = F-43m, No. 216; E_tot = -4.25 eV/atom
1.0
0.000 3.213 3.213
3.213 0.000 3.213
3.213 3.213 0.000
Sc Be Cu
1 4 1
Direct
0.000 0.000 0.000
0.625 0.625 0.124
0.625 0.124 0.625
0.625 0.625 0.625
0.124 0.625 0.625
0.250 0.250 0.250